Record 1
KGaPb2 | PBE | optimized geometry

Cell: 3.9133 3.9133 8.1351 Å, 90.00 90.00 90.00°
Last column: nearest neighbours and their distance in Å.
Atoms (fractional coordinates):
Pb1 0.0000 0.0000 0.1908  1 Pb 3.10, 4 Ga 3.17
Pb2 0.0000 0.0000 0.8092  1 Pb 3.10, 4 Ga 3.17
K1 0.5000 0.5000 0.5000  8 Pb 3.74, 4 K 3.91, 2 Ga 4.07
Ga1 0.5000 0.5000 0.0000  8 Pb 3.17

***

Record 2
KGa2Pb | PBE | optimized geometry

Cell: 4.8117 4.8117 6.8884 Å, 69.56 69.56 60.00°
Last column: nearest neighbours and their distance in Å.
Atoms (fractional coordinates):
Ga1 0.2770 0.2770 0.1691  3 Pb 2.98
Ga2 0.7230 0.7230 0.8309  3 Pb 2.98
Pb1 0.0000 0.0000 0.0000  6 Ga 2.98
K1 0.5000 0.5000 0.5000  6 Ga 3.47

***

Record 3
KGaPb2 | PBE | optimized geometry

Cell: 5.5357 5.5357 10.5600 Å, 74.80 74.80 90.00°
Last column: nearest neighbours and their distance in Å.
Atoms (fractional coordinates):
Pb1 0.0294 0.6250 0.2500  2 Ga 2.94, 2 Pb 3.25
Pb2 0.3750 0.2794 0.7500  2 Ga 2.94, 2 Pb 3.25
Pb3 0.7206 0.1250 0.2500  2 Ga 2.94, 2 Pb 3.25
Pb4 0.8750 0.9706 0.7500  2 Ga 2.94, 2 Pb 3.25
K1 0.2500 0.7500 0.5000  4 Pb 3.40
K2 0.5000 0.5000 0.0000  4 Pb 3.40
Ga1 0.0000 0.0000 0.0000  4 Pb 2.94
Ga2 0.7500 0.2500 0.5000  4 Pb 2.94

***

Record 4
K3GaPb | PBE | optimized geometry

Excess energy over the best structure of this formula in the dataset (meV/atom): 0

Cell: 6.3671 6.3671 6.3671 Å, 90.00 90.00 90.00°
Last column: nearest neighbours and their distance in Å.
Atoms (fractional coordinates):
K1 0.0000 0.5000 0.0000  2 Ga 3.18
K2 0.0000 0.0000 0.5000  2 Ga 3.18
K3 0.5000 0.0000 0.0000  2 Ga 3.18
Pb1 0.5000 0.5000 0.5000  12 K 4.50
Ga1 0.0000 0.0000 0.0000  6 K 3.18

***

Record 5
K4GaPb4 | PBE | optimized geometry

Cell: 6.6956 9.0979 6.6956 Å, 68.41 90.00 111.59°
Last column: nearest neighbours and their distance in Å.
Atoms (fractional coordinates):
Ga1 0.0000 0.0000 0.0000  4 Pb 2.95
Pb1 0.2391 0.8853 0.7609  1 Ga 2.95, 2 Pb 3.26
Pb2 0.6462 0.8853 0.3538  1 Ga 2.95, 2 Pb 3.26
Pb3 0.3538 0.1147 0.2391  1 Ga 2.95, 2 Pb 3.26
Pb4 0.7609 0.1147 0.6462  1 Ga 2.95, 2 Pb 3.26
K1 0.9489 0.3463 0.0511  1 Ga 3.43, 3 Pb 3.65-3.71
K2 0.0511 0.6537 0.3974  1 Ga 3.43, 3 Pb 3.65-3.71
K3 0.3974 0.3463 0.6026  1 Ga 3.43, 3 Pb 3.65-3.71
K4 0.6026 0.6537 0.9489  1 Ga 3.43, 3 Pb 3.65-3.71

***

Record 6
KGaPb2 | PBE | optimized geometry

Cell: 4.7330 4.7330 7.7164 Å, 72.14 72.14 60.00°
Last column: nearest neighbours and their distance in Å.
Atoms (fractional coordinates):
Ga1 0.0000 0.0000 0.0000  6 Pb 2.96
Pb1 0.2812 0.2812 0.1563  3 Ga 2.96
Pb2 0.7188 0.7188 0.8437  3 Ga 2.96
K1 0.5000 0.5000 0.5000  6 Pb 3.69

***

Record 7
K2GaPb | PBE | optimized geometry

Excess energy over the best structure of this formula in the dataset (meV/atom): 0

Cell: 4.6970 6.6237 6.6229 Å, 61.12 69.22 69.20°
Last column: nearest neighbours and their distance in Å.
Atoms (fractional coordinates):
Pb1 0.2498 0.1832 0.3168  2 Ga 2.77
Ga1 0.7500 0.9659 0.5341  2 Pb 2.77
K1 0.4397 0.4858 0.6350  3 Ga 3.52-3.64, 1 Pb 3.86, 1 K 3.94
K2 0.0605 0.8650 0.0142  3 Ga 3.52-3.64, 1 Pb 3.86, 1 K 3.94

***

Record 8
K2Ga2Pb | PBE | optimized geometry

Cell: 7.5850 7.5850 5.7293 Å, 90.00 90.00 90.00°
Last column: nearest neighbours and their distance in Å.
Atoms (fractional coordinates):
K1 0.6859 0.8141 0.5000  6 Ga 3.54-3.72, 4 K 3.92
K2 0.1859 0.6859 0.5000  6 Ga 3.54-3.72, 4 K 3.92
K3 0.3141 0.1859 0.5000  6 Ga 3.54-3.72, 4 K 3.92
K4 0.8141 0.3141 0.5000  6 Ga 3.54-3.72, 4 K 3.92
Pb1 0.5000 0.5000 0.0000  4 Ga 3.02
Pb2 0.0000 0.0000 0.0000  4 Ga 3.02
Ga1 0.6198 0.1198 0.0000  1 Ga 2.57
Ga2 0.3802 0.8802 0.0000  1 Ga 2.57
Ga3 0.8802 0.6198 0.0000  1 Ga 2.57
Ga4 0.1198 0.3802 0.0000  1 Ga 2.57

***

Record 9
KGa2Pb4 | PBE | optimized geometry

Cell: 4.9839 5.0564 8.9089 Å, 106.49 90.00 90.00°
Last column: nearest neighbours and their distance in Å.
Atoms (fractional coordinates):
Pb1 0.5000 0.1757 0.3513  2 Ga 3.06
Pb2 0.0000 0.6783 0.3567  2 Ga 3.06
Pb3 0.0000 0.3217 0.6433  2 Ga 3.06
Pb4 0.5000 0.8243 0.6487  2 Ga 3.06
Ga1 0.5000 0.5746 0.1492  1 Ga 2.55
Ga2 0.5000 0.4254 0.8508  1 Ga 2.55
K1 0.0000 0.0000 0.0000  8 Ga 3.77, 8 Pb 3.90-3.96

***

Record 10
K2GaPb | PBE | optimized geometry

Excess energy over the best structure of this formula in the dataset (meV/atom): 320

Cell: 3.6944 3.6944 12.8567 Å, 81.74 81.74 60.00°
Last column: nearest neighbours and their distance in Å.
Atoms (fractional coordinates):
K1 0.9118 0.9118 0.2645  1 Ga 3.35, 3 Pb 3.67, 6 K 3.69
K2 0.0882 0.0882 0.7355  1 Ga 3.35, 3 Pb 3.67, 6 K 3.69
Ga1 0.0000 0.0000 0.0000  2 K 3.35, 6 Ga 3.69
Pb1 0.5000 0.5000 0.5000  6 K 3.67, 6 Pb 3.69

***

Record 11
K3Ga2Pb4 | PBE | optimized geometry

Cell: 7.5298 9.7549 9.7549 Å, 69.86 74.58 74.58°
Last column: nearest neighbours and their distance in Å.
Atoms (fractional coordinates):
K1 0.1328 0.9964 0.7801  2 Ga 3.53-3.65, 6 Pb 3.65-3.93
K2 0.3672 0.2199 0.0036  2 Ga 3.53-3.65, 6 Pb 3.65-3.93
K3 0.8672 0.0036 0.2199  2 Ga 3.53-3.65, 6 Pb 3.65-3.93
K4 0.2500 0.4656 0.5344  2 Ga 3.49, 2 Pb 3.66, 2 K 3.84
K5 0.6328 0.7801 0.9964  2 Ga 3.53-3.65, 6 Pb 3.65-3.93
K6 0.7500 0.5344 0.4656  2 Ga 3.49, 2 Pb 3.66, 2 K 3.84
Pb1 0.9473 0.8089 0.5985  2 Ga 2.87-2.92
Pb2 0.4473 0.5985 0.8089  2 Ga 2.87-2.92
Pb3 0.3392 0.8875 0.3550  2 Ga 2.94-3.11, 1 Pb 3.26
Pb4 0.6608 0.1125 0.6450  2 Ga 2.94-3.11, 1 Pb 3.26
Pb5 0.5527 0.4015 0.1911  2 Ga 2.87-2.92
Pb6 0.0527 0.1911 0.4015  2 Ga 2.87-2.92
Pb7 0.8392 0.3550 0.8875  2 Ga 2.94-3.11, 1 Pb 3.26
Pb8 0.1608 0.6450 0.1125  2 Ga 2.94-3.11, 1 Pb 3.26
Ga1 0.4379 0.1422 0.4267  1 Ga 2.69, 3 Pb 2.87-2.94
Ga2 0.5621 0.8578 0.5733  1 Ga 2.69, 3 Pb 2.87-2.94
Ga3 0.9379 0.4267 0.1422  1 Ga 2.69, 3 Pb 2.87-2.94
Ga4 0.0621 0.5733 0.8578  1 Ga 2.69, 3 Pb 2.87-2.94

***

Record 12
K2GaPb | PBE | optimized geometry

Excess energy over the best structure of this formula in the dataset (meV/atom): 134

Cell: 12.7511 12.7511 9.4125 Å, 47.36 47.36 90.00°
Last column: nearest neighbours and their distance in Å.
Atoms (fractional coordinates):
Pb1 0.0000 0.0000 0.0000  2 Ga 2.70
Pb2 0.7500 0.2500 0.5000  2 Ga 2.70
K1 0.4502 0.1250 0.2500  2 Ga 3.40
K2 0.3750 0.5498 0.7500  2 Ga 3.40
K3 0.8750 0.7002 0.7500  2 Ga 3.40
K4 0.2998 0.6250 0.2500  2 Ga 3.40
Ga1 0.5000 0.5000 0.0000  2 Pb 2.70
Ga2 0.2500 0.7500 0.5000  2 Pb 2.70

***

| no. | formation energy (meV/atom) | magnetic moment (μB/atom) |
| --- | --- | --- |
| 1 | -66 | 0.000 |
| 2 | 22 | 0.000 |
| 3 | 112 | 0.000 |
| 4 | 368 | 0.001 |
| 5 | -67 | 0.000 |
| 6 | -18 | 0.000 |
| 7 | -72 | 0.000 |
| 8 | -41 | 0.000 |
| 9 | -29 | 0.000 |
| 10 | 247 | 0.000 |
| 11 | -121 | 0.000 |
| 12 | 62 | 0.000 |